# 1
First-principles (PBE-GGA) data for crystalline CaScPS2 at its relaxed geometry, as listed in the Alexandria database.

Cell: 4.9285 4.9285 4.9289 Å, 90.00 90.00 90.00°
Atoms (fractional coordinates):
Ca 0.0000 0.0000 0.0000
Sc 0.5000 0.5000 0.5000
P 0.5000 0.5000 0.0000
S 0.0000 0.5000 0.5000
S 0.5000 0.0000 0.5000

Summary:
SG: P4/mmm, No. 123
Uncorrected formation energy in eV/f.u.: -4.7
N(E_F) in states/eV/atom: 0.948
E above lowest polymorph in eV/f.u.: 0.00

# 2
First-principles (PBE-GGA) data for crystalline CaScP2S at its relaxed geometry, as listed in the Alexandria database.

Cell: 5.0246 5.0246 5.0125 Å, 90.00 90.00 90.00°
Atoms (fractional coordinates):
Ca 0.0000 0.0000 0.0000
Sc 0.5000 0.5000 0.5000
P 0.0000 0.5000 0.0000
P 0.5000 0.0000 0.0000
S 0.0000 0.0000 0.5000

Summary:
SG: P4/mmm, No. 123
Uncorrected formation energy in eV/f.u.: 1.8
N(E_F) in states/eV/atom: 0.968
E above lowest polymorph in eV/f.u.: 4.69

# 3
First-principles (PBE-GGA) data for crystalline CaScPS2 at its relaxed geometry, as listed in the Alexandria database.

Cell: 5.0404 5.0404 5.0208 Å, 90.00 90.00 90.00°
Atoms (fractional coordinates):
Ca 0.0000 0.0000 0.0000
Sc 0.5000 0.5000 0.5000
P 0.0000 0.0000 0.5000
S 0.0000 0.5000 0.0000
S 0.5000 0.0000 0.0000

Summary:
SG: P4/mmm, No. 123
Uncorrected formation energy in eV/f.u.: 0.1
N(E_F) in states/eV/atom: 0.874
E above lowest polymorph in eV/f.u.: 4.77

# 4
First-principles (PBE-GGA) data for crystalline CaScP2S at its relaxed geometry, as listed in the Alexandria database.

Cell: 4.9267 4.9267 4.9482 Å, 90.00 90.00 90.00°
Atoms (fractional coordinates):
Ca 0.0000 0.0000 0.0000
Sc 0.5000 0.5000 0.5000
P 0.0000 0.5000 0.5000
P 0.5000 0.0000 0.5000
S 0.5000 0.5000 0.0000

Summary:
SG: P4/mmm, No. 123
Uncorrected formation energy in eV/f.u.: -2.9
N(E_F) in states/eV/atom: 0.636
E above lowest polymorph in eV/f.u.: 0.00

# 5
First-principles (PBE-GGA) data for crystalline CaSiPS2 at its relaxed geometry, as listed in the Alexandria database.

Cell: 4.7230 4.7230 4.4697 Å, 90.00 90.00 90.00°
Atoms (fractional coordinates):
Ca 0.0000 0.0000 0.0000
Si 0.5000 0.5000 0.5000
P 0.5000 0.5000 0.0000
S 0.0000 0.5000 0.5000
S 0.5000 0.0000 0.5000

Summary:
SG: P4/mmm, No. 123
Uncorrected formation energy in eV/f.u.: -2.1
N(E_F) in states/eV/atom: 0.587
E above lowest polymorph in eV/f.u.: 0.00

# 6
First-principles (PBE-GGA) data for crystalline CaSiPS2 at its relaxed geometry, as listed in the Alexandria database.

Cell: 5.1259 5.1259 5.1969 Å, 90.00 90.00 90.00°
Atoms (fractional coordinates):
Ca 0.0000 0.0000 0.0000
Si 0.5000 0.5000 0.5000
P 0.0000 0.0000 0.5000
S 0.0000 0.5000 0.0000
S 0.5000 0.0000 0.0000

Summary:
SG: P4/mmm, No. 123
Uncorrected formation energy in eV/f.u.: 4.0
N(E_F) in states/eV/atom: 1.193
E above lowest polymorph in eV/f.u.: 6.15

- Which of these has the highest E above lowest polymorph?
  number 6

- Among the records above, which one has the lowest N(E_F)?
  number 5

- What is the E above lowest polymorph in the fourth record?
  0.00 eV/f.u.